# 1
{
  "formula": "InBiPCl2",
  "functional": "PBE-GGA",
  "state": "optimized geometry",
  "lattice": [[5.102, 0.000, 0.000], [0.000, 5.102, 0.000], [0.000, 0.000, 5.422]],
  "species": ["P", "Bi", "Cl", "Cl", "In"],
  "fractional_positions": [[0.000, 0.000, 0.500], [0.500, 0.500, 0.500], [0.500, 0.000, 0.000], [0.000, 0.500, 0.000], [0.000, 0.000, 0.000]],
  "energy_ev_per_atom": -3.11,
  "magnetic_moment_mub_per_cell": 0.78,
  "space_group": "No. 123"
}

***

# 2
{
  "formula": "Cs4AcTh3S8",
  "functional": "PBE-GGA",
  "state": "optimized geometry",
  "lattice": [[-0.615, -7.577, -3.784], [8.945, -2.000, 2.552], [-5.359, 2.068, 6.257]],
  "species": ["S", "S", "S", "S", "S", "S", "S", "S", "Ac", "Th", "Th", "Th", "Cs", "Cs", "Cs", "Cs"],
  "fractional_positions": [[0.239, 0.692, 0.477], [0.285, 0.308, 0.047], [0.761, 0.308, 0.047], [0.715, 0.692, 0.953], [0.271, 0.314, 0.543], [0.729, 0.686, 0.457], [0.239, 0.692, 0.953], [0.761, 0.308, 0.523], [0.000, 0.500, 0.000], [0.500, 0.500, 0.000], [0.500, 0.500, 0.500], [0.000, 0.500, 0.500], [0.000, 0.000, 0.000], [0.000, 0.000, 0.500], [0.500, 0.000, 0.000], [0.500, 0.000, 0.500]],
  "energy_ev_per_atom": -5.61,
  "magnetic_moment_mub_per_cell": 0.00,
  "space_group": "No. 166"
}

***

# 3
{
  "formula": "Ba4Os2C",
  "functional": "PBE-GGA",
  "state": "optimized geometry",
  "lattice": [[-0.298, -1.693, 5.806], [5.835, 1.447, 0.722], [0.995, 6.162, 5.005]],
  "species": ["Os", "Os", "Ba", "Ba", "Ba", "Ba", "C"],
  "fractional_positions": [[0.412, 0.412, 0.175], [0.588, 0.588, 0.825], [0.000, 0.500, 0.000], [0.196, 0.196, 0.608], [0.804, 0.804, 0.392], [0.500, 0.000, 0.000], [0.000, 0.000, 0.000]],
  "magnetic_moment_mub_per_cell": 2.08,
  "formation_enthalpy_0k_kj_per_mol_atoms": 96.3,
  "space_group": "No. 139"
}

***

# 4
{
  "formula": "Co2Pt8Rh",
  "functional": "PBE-GGA",
  "state": "optimized geometry",
  "lattice": [[4.479, 0.400, 0.303], [0.737, 6.757, 0.653], [0.737, 2.448, 6.332]],
  "species": ["Pt", "Pt", "Pt", "Pt", "Pt", "Pt", "Pt", "Pt", "Rh", "Co", "Co"],
  "fractional_positions": [[0.216, 0.770, 0.377], [0.784, 0.623, 0.230], [0.672, 0.645, 0.645], [0.908, 0.224, 0.224], [0.092, 0.776, 0.776], [0.216, 0.377, 0.770], [0.328, 0.355, 0.355], [0.784, 0.230, 0.623], [0.000, 0.000, 0.000], [0.535, 0.880, 0.880], [0.465, 0.120, 0.120]],
  "magnetic_moment_mub_per_cell": 6.54,
  "formation_enthalpy_0k_kj_per_mol_atoms": 27.9,
  "space_group": "No. 12"
}

***

# 5
{
  "formula": "Li5B6C6",
  "functional": "PBE-GGA",
  "state": "optimized geometry",
  "lattice": [[6.035, 0.006, -3.993], [5.419, 2.657, -3.993], [0.122, 0.028, 8.635]],
  "species": ["Li", "Li", "Li", "Li", "Li", "C", "C", "C", "C", "C", "C", "B", "B", "B", "B", "B", "B"],
  "fractional_positions": [[0.323, 0.323, 0.003], [0.833, 0.833, 0.499], [0.500, 0.500, 0.501], [0.167, 0.167, 0.500], [0.010, 0.010, 0.997], [0.310, 0.310, 0.263], [0.971, 0.971, 0.248], [0.363, 0.363, 0.752], [0.024, 0.024, 0.737], [0.640, 0.640, 0.253], [0.694, 0.694, 0.747], [0.528, 0.528, 0.248], [0.863, 0.863, 0.256], [0.470, 0.470, 0.744], [0.805, 0.805, 0.752], [0.197, 0.197, 0.252], [0.136, 0.136, 0.748]],
  "magnetic_moment_mub_per_cell": 0.00,
  "formation_enthalpy_0k_kj_per_mol_atoms": -27.4,
  "space_group": "No. 12"
}